#P
La2HoIn3 (PBE, optimized geometry); M_tot = 0.00 μB/f.u.; N(E_F) = 0.65 states/eV/atom
1.0
3.844 0.000 0.000
0.000 3.844 0.000
0.000 0.000 11.894
La Ho In
2 1 3
Direct
0.000 0.000 0.174 La
0.000 0.000 0.826 La
0.000 0.000 0.500 Ho
0.500 0.500 0.000 In
0.500 0.500 0.351 In
0.500 0.500 0.649 In

---

#Q
La2HoIn3 (PBE, optimized geometry); M_tot = 0.02 μB/f.u.; N(E_F) = 1.03 states/eV/atom
1.0
1.913 -14.913 0.000
1.913 14.913 0.000
0.000 0.000 6.574
La Ho In
4 2 6
Direct
0.006 0.994 0.750 La
0.157 0.843 0.250 La
0.843 0.157 0.750 La
0.994 0.006 0.250 La
0.332 0.668 0.250 Ho
0.668 0.332 0.750 Ho
0.252 0.748 0.750 In
0.421 0.579 0.511 In
0.421 0.579 0.989 In
0.579 0.421 0.011 In
0.579 0.421 0.489 In
0.748 0.252 0.250 In

---

Q: What are the energies relative to the best structure? A: #P 0; #Q 198, in meV per atom.